# Ba2Nd2Fe3CoO12 PBEsol optimized geometry
# uncorrected formation energy: -2.104 eV/atom
# magnetization: 12.1 μB per cell
data_Ba2Nd2Fe3CoO12
_chemical_formula_sum 'Ba2 Nd2 Fe3 Co1 O12'
_space_group_name_H-M_alt 'P -4 m 2'
_space_group_IT_number 115
_cell_length_a 5.424
_cell_length_b 5.424
_cell_length_c 7.657
_cell_angle_alpha 90.00
_cell_angle_beta 90.00
_cell_angle_gamma 90.00
loop_
_space_group_symop_operation_xyz
'x,y,z'
'y,-x,-z'
'-x,-y,z'
'-y,x,-z'
'-x,y,z'
'-y,-x,-z'
'x,-y,z'
'y,x,-z'
loop_
_atom_site_label
_atom_site_fract_x
_atom_site_fract_y
_atom_site_fract_z
_atom_site_occupancy
Ba1 0.000 0.500 0.250 1
Nd1 0.000 0.500 0.744 1
Fe1 0.000 0.000 0.000 1
Fe2 0.500 0.500 0.000 1
Fe3 0.500 0.500 0.500 1
Co1 0.000 0.000 0.500 1
O1 0.000 0.000 0.249 1
O2 0.251 0.251 0.000 1
O3 0.251 0.251 0.500 1
O4 0.500 0.500 0.248 1

# BaSr7Fe7CoO24 PBEsol optimized geometry
# uncorrected formation energy: -2.004 eV/atom
# magnetization: 76.7 μB per cell
data_BaSr7Fe7CoO24
_chemical_formula_sum 'Ba3 Sr21 Fe21 Co3 O72'
_space_group_name_H-M_alt 'R 3 m'
_space_group_IT_number 160
_space_group_name_Hall 'R 3 -2"'
_cell_length_a 10.7564
_cell_length_b 10.7564
_cell_length_c 13.1680
_cell_angle_alpha 90.00
_cell_angle_beta 90.00
_cell_angle_gamma 120.00
loop_
_atom_site_label
_atom_site_fract_x
_atom_site_fract_y
_atom_site_fract_z
_atom_site_occupancy
Ba1 0.0000 0.0000 0.0000 1
Sr1 0.0000 0.0000 0.4986 1
Sr2 0.0009 0.5004 0.9991 1
Sr3 0.1671 0.3343 0.8329 1
Fe1 0.0000 0.0000 0.7480 1
Fe2 0.0018 0.5009 0.2489 1
Fe3 0.1676 0.3353 0.0830 1
Co1 0.0000 0.0000 0.2505 1
O1 0.0005 0.2490 0.4995 1
O2 0.9995 0.2539 0.9991 1
O3 0.0829 0.1658 0.6653 1
O4 0.0857 0.1714 0.1679 1
O5 0.1675 0.0838 0.3341 1
O6 0.1692 0.0846 0.8299 1

# Ba2FeCoSe PBEsol optimized geometry
# uncorrected formation energy: 0.027 eV/atom
# magnetization: 2.7 μB per cell
data_Ba2FeCoSe
_chemical_formula_sum 'Ba2 Fe1 Co1 Se1'
_space_group_name_H-M_alt 'P 4/m m m'
_space_group_IT_number 123
_space_group_name_Hall '-P 4 2'
_cell_length_a 5.764
_cell_length_b 5.764
_cell_length_c 4.111
_cell_angle_alpha 90.00
_cell_angle_beta 90.00
_cell_angle_gamma 90.00
loop_
_atom_site_label
_atom_site_fract_x
_atom_site_fract_y
_atom_site_fract_z
_atom_site_occupancy
Ba1 0.000 0.500 0.000 1
Fe1 0.000 0.000 0.000 1
Co1 0.000 0.000 0.500 1
Se1 0.500 0.500 0.500 1

# BaGa3Co PBEsol optimized geometry
# formation energy: -2.0 eV/f.u.
# magnetization: 0.0 μB per cell
data_BaGa3Co
_chemical_formula_sum 'Ba1 Ga3 Co1'
_space_group_name_H-M_alt 'P m -3 m'
_space_group_IT_number 221
_space_group_name_Hall '-P 4 2 3'
_cell_length_a 4.641
_cell_length_b 4.641
_cell_length_c 4.641
_cell_angle_alpha 90.00
_cell_angle_beta 90.00
_cell_angle_gamma 90.00
loop_
_atom_site_label
_atom_site_fract_x
_atom_site_fract_y
_atom_site_fract_z
_atom_site_occupancy
Ba1 0.000 0.000 0.000 1
Ga1 0.000 0.500 0.500 1
Co1 0.500 0.500 0.500 1

# BaGaCo2Pt PBEsol optimized geometry
# formation energy: 1.6 eV/f.u.
# magnetization: 4.1 μB per cell
data_BaGaCo2Pt
_chemical_formula_sum 'Ba1 Ga1 Co2 Pt1'
_space_group_name_H-M_alt 'P 4/m m m'
_space_group_IT_number 123
_space_group_name_Hall '-P 4 2'
_cell_length_a 4.836
_cell_length_b 4.836
_cell_length_c 4.678
_cell_angle_alpha 90.00
_cell_angle_beta 90.00
_cell_angle_gamma 90.00
loop_
_atom_site_label
_atom_site_fract_x
_atom_site_fract_y
_atom_site_fract_z
_atom_site_occupancy
Ba1 0.000 0.000 0.000 1
Ga1 0.500 0.500 0.000 1
Co1 0.000 0.500 0.500 1
Pt1 0.500 0.500 0.500 1

# Ba3CoGe PBEsol optimized geometry
# formation energy: 0.9 eV/f.u.
# magnetization: 0.0 μB per cell
data_Ba3CoGe
_chemical_formula_sum 'Ba3 Co1 Ge1'
_space_group_name_H-M_alt 'P m -3 m'
_space_group_IT_number 221
_space_group_name_Hall '-P 4 2 3'
_cell_length_a 5.518
_cell_length_b 5.518
_cell_length_c 5.518
_cell_angle_alpha 90.00
_cell_angle_beta 90.00
_cell_angle_gamma 90.00
loop_
_atom_site_label
_atom_site_fract_x
_atom_site_fract_y
_atom_site_fract_z
_atom_site_occupancy
Ba1 0.000 0.000 0.500 1
Co1 0.000 0.000 0.000 1
Ge1 0.500 0.500 0.500 1

# Ba3HfCo PBEsol optimized geometry
# formation energy: 7.3 eV/f.u.
# magnetization: 3.1 μB per cell
data_Ba3HfCo
_chemical_formula_sum 'Ba3 Hf1 Co1'
_space_group_name_H-M_alt 'P m -3 m'
_space_group_IT_number 221
_space_group_name_Hall '-P 4 2 3'
_cell_length_a 6.059
_cell_length_b 6.059
_cell_length_c 6.059
_cell_angle_alpha 90.00
_cell_angle_beta 90.00
_cell_angle_gamma 90.00
loop_
_atom_site_label
_atom_site_fract_x
_atom_site_fract_y
_atom_site_fract_z
_atom_site_occupancy
Ba1 0.000 0.000 0.500 1
Hf1 0.000 0.000 0.000 1
Co1 0.500 0.500 0.500 1

# BaCoHg PBEsol optimized geometry
# formation energy: 0.4 eV/f.u.
# magnetization: 0.9 μB per cell
data_BaCoHg
_chemical_formula_sum 'Ba1 Co1 Hg1'
_space_group_name_H-M_alt 'P -6 m 2'
_space_group_IT_number 187
_space_group_name_Hall 'P -6 2'
_cell_length_a 4.4585
_cell_length_b 4.4585
_cell_length_c 4.6236
_cell_angle_alpha 90.00
_cell_angle_beta 90.00
_cell_angle_gamma 120.00
loop_
_atom_site_label
_atom_site_fract_x
_atom_site_fract_y
_atom_site_fract_z
_atom_site_occupancy
Ba1 0.0000 0.0000 0.0000 1
Co1 0.3333 0.6667 0.5000 1
Hg1 0.6667 0.3333 0.5000 1

In the order shown, the computed raw total energy values come out to -7.717; -7.291; -4.943; -4.388; -5.262; -3.645; -3.473; -3.336 eV per atom.